# 1
{"formula": "Tm4ThTc2", "functional": "PBE-GGA", "state": "optimized geometry", "cell": [[7.726, 0.000, 0.000], [0.000, 6.249, 0.000], [-2.918, 0.000, 7.338]], "species": ["Tm", "Tm", "Tm", "Tm", "Tm", "Tm", "Tm", "Tm", "Th", "Th", "Tc", "Tc", "Tc", "Tc"], "frac_coords": [[0.102, 0.250, 0.474], [0.172, 0.750, 0.248], [0.261, 0.501, 0.917], [0.261, 0.999, 0.917], [0.739, 0.001, 0.083], [0.739, 0.499, 0.083], [0.828, 0.250, 0.752], [0.898, 0.750, 0.526], [0.467, 0.250, 0.340], [0.533, 0.750, 0.660], [0.079, 0.250, 0.120], [0.465, 0.250, 0.733], [0.535, 0.750, 0.267], [0.921, 0.750, 0.880]], "e_form_kj_per_mol_atoms": -8.8, "spacegroup": "P2_1/m (11)", "final_energy_ev_per_atom": -6.669}

---

# 2
{"formula": "La2NdCr2N6", "functional": "PBE-GGA", "state": "optimized geometry", "cell": [[2.822, 1.629, 6.292], [-2.822, 1.629, 6.292], [0.000, -3.259, 6.292]], "species": ["La", "La", "Nd", "Cr", "Cr", "N", "N", "N", "N", "N", "N"], "frac_coords": [[0.206, 0.206, 0.206], [0.794, 0.794, 0.794], [0.000, 0.000, 0.000], [0.405, 0.405, 0.405], [0.595, 0.595, 0.595], [0.238, 0.733, 0.733], [0.267, 0.267, 0.762], [0.267, 0.762, 0.267], [0.733, 0.238, 0.733], [0.733, 0.733, 0.238], [0.762, 0.267, 0.267]], "raw_formation_energy_ev_per_atom": -0.853, "spacegroup": "R-3m (166)", "final_energy_ev_per_atom": -8.473}